[1]
NdThNb4 | PBE-GGA | optimized geometry

Cell lengths 5.782, 5.782, 5.782 Å; angles 60.00, 60.00, 60.00 degrees
Sites, in units of the cell vectors:
1 Nd 0.000 0.000 0.000
2 Th 0.250 0.250 0.250
3 Nb 0.124 0.625 0.625
4 Nb 0.625 0.124 0.625
5 Nb 0.625 0.625 0.124
6 Nb 0.625 0.625 0.625

Calculated values
SG: F-43m, No. 216



[2]
NdTi2Nb | PBE-GGA | optimized geometry

Cell lengths 3.467, 3.467, 7.105 Å; angles 90.00, 90.00, 90.00 degrees
Sites, in units of the cell vectors:
1 Nd 0.000 0.000 0.000
2 Ti 0.500 0.500 0.306
3 Ti 0.500 0.500 0.694
4 Nb 0.000 0.000 0.500

Calculated values
SG: P4/mmm, No. 123



[3]
Nd2NbTl | PBE-GGA | optimized geometry

Cell lengths 11.837, 11.837, 11.837 Å; angles 16.07, 16.07, 16.07 degrees
Sites, in units of the cell vectors:
1 Nd 0.084 0.084 0.084
2 Nd 0.916 0.916 0.916
3 Nb 0.000 0.000 0.000
4 Tl 0.500 0.500 0.500

Calculated values
SG: R-3m, No. 166



[4]
NdTmNb | PBE-GGA | optimized geometry

Cell lengths 3.531, 3.531, 13.255 Å; angles 90.00, 90.00, 90.00 degrees
Sites, in units of the cell vectors:
1 Nd 0.250 0.250 0.100
2 Nd 0.750 0.750 0.900
3 Tm 0.250 0.250 0.695
4 Tm 0.750 0.750 0.305
5 Nb 0.250 0.250 0.453
6 Nb 0.750 0.750 0.547

Calculated values
SG: P4/nmm, No. 129



Summary of calculated density in kg/m³
9088; 6473; 8774; 8158
(order as listed above)
Summary of electronic total energy in eV per atom
-8.60; -7.52; -5.00; -6.36
(order as listed above)